1.
Entry from the Alexandria database: Ba6Nd2Ti4O17 at its PBEsol-relaxed geometry (SCAN).

Cell lengths 5.9744, 5.9744, 30.1680 Å; angles 90.00, 90.00, 120.00 degrees
Fractional positions:
Ba  0.0000  0.0000  0.0000
Ba  0.0000  0.0000  0.2500
Ba  0.0000  0.0000  0.5000
Ba  0.0000  0.0000  0.7500
Ba  0.3333  0.6667  0.0895
Ba  0.3333  0.6667  0.4105
Ba  0.3333  0.6667  0.6865
Ba  0.3333  0.6667  0.8135
Ba  0.6667  0.3333  0.1865
Ba  0.6667  0.3333  0.3135
Ba  0.6667  0.3333  0.5895
Ba  0.6667  0.3333  0.9105
Nd  0.0000  0.0000  0.1262
Nd  0.0000  0.0000  0.3738
Nd  0.0000  0.0000  0.6262
Nd  0.0000  0.0000  0.8738
Ti  0.3333  0.6667  0.2045
Ti  0.3333  0.6667  0.2955
Ti  0.3333  0.6667  0.5519
Ti  0.3333  0.6667  0.9481
Ti  0.6667  0.3333  0.0519
Ti  0.6667  0.3333  0.4481
Ti  0.6667  0.3333  0.7045
Ti  0.6667  0.3333  0.7955
O  0.0351  0.5176  0.2500
O  0.1692  0.3384  0.5745
O  0.1692  0.3384  0.9255
O  0.1692  0.8308  0.5745
O  0.1692  0.8308  0.9255
O  0.1777  0.3554  0.1712
O  0.1777  0.3554  0.3288
O  0.1777  0.8223  0.1712
O  0.1777  0.8223  0.3288
O  0.3333  0.6667  0.0067
O  0.3333  0.6667  0.4933
O  0.3384  0.1692  0.0745
O  0.3384  0.1692  0.4255
O  0.3554  0.1777  0.6712
O  0.3554  0.1777  0.8288
O  0.4824  0.5176  0.2500
O  0.4824  0.9649  0.2500
O  0.5176  0.0351  0.7500
O  0.5176  0.4824  0.7500
O  0.6446  0.8223  0.1712
O  0.6446  0.8223  0.3288
O  0.6616  0.8308  0.5745
O  0.6616  0.8308  0.9255
O  0.6667  0.3333  0.5067
O  0.6667  0.3333  0.9933
O  0.8223  0.1777  0.6712
O  0.8223  0.1777  0.8288
O  0.8223  0.6446  0.6712
O  0.8223  0.6446  0.8288
O  0.8308  0.1692  0.0745
O  0.8308  0.1692  0.4255
O  0.8308  0.6616  0.0745
O  0.8308  0.6616  0.4255
O  0.9649  0.4824  0.7500

Raw formation energy (eV per atom): -3.369

=====

2.
Entry from the Alexandria database: ReSi at its PBEsol-relaxed geometry (SCAN).

Cell lengths 2.7808, 2.7808, 7.5384 Å; angles 90.00, 90.00, 90.00 degrees
Fractional positions:
Re  0.2500  0.2500  0.1168
Re  0.7500  0.7500  0.8832
Si  0.2500  0.2500  0.6501
Si  0.7500  0.7500  0.3499

Raw formation energy (eV per atom): 0.215

=====

3.
Entry from the Alexandria database: AgRh2Pb at its PBEsol-relaxed geometry (SCAN).

Cell lengths 3.0729, 3.0729, 25.1260 Å; angles 90.00, 90.00, 120.00 degrees
Fractional positions:
Ag  0.0000  0.0000  0.0000
Ag  0.3333  0.6667  0.6667
Ag  0.6667  0.3333  0.3333
Rh  0.0000  0.0000  0.2486
Rh  0.0000  0.0000  0.7514
Rh  0.3333  0.6667  0.4180
Rh  0.3333  0.6667  0.9153
Rh  0.6667  0.3333  0.0847
Rh  0.6667  0.3333  0.5820
Pb  0.0000  0.0000  0.5000
Pb  0.3333  0.6667  0.1667
Pb  0.6667  0.3333  0.8333

Formation energy (eV per atom): 0.37

=====

4.
Entry from the Alexandria database: Fe6Co at its PBEsol-relaxed geometry (SCAN).

Cell lengths 2.7882, 2.7882, 19.6195 Å; angles 90.00, 90.00, 90.00 degrees
Fractional positions:
Fe  0.0000  0.0000  0.0713
Fe  0.0000  0.0000  0.2143
Fe  0.0000  0.0000  0.3564
Fe  0.0000  0.0000  0.6436
Fe  0.0000  0.0000  0.7857
Fe  0.0000  0.0000  0.9287
Fe  0.5000  0.5000  0.1436
Fe  0.5000  0.5000  0.2857
Fe  0.5000  0.5000  0.4287
Fe  0.5000  0.5000  0.5713
Fe  0.5000  0.5000  0.7143
Fe  0.5000  0.5000  0.8564
Co  0.0000  0.0000  0.5000
Co  0.5000  0.5000  0.0000

Energy relative to the lowest polymorph listed for this composition (meV/atom): 2
Formation energy (eV per atom): -0.09

=====

5.
Entry from the Alexandria database: ZrBe8 at its PBEsol-relaxed geometry (SCAN).

Cell lengths 5.3984, 5.3984, 5.3984 Å; angles 95.87, 95.87, 142.69 degrees
Fractional positions:
Zr  0.0000  0.0000  0.0000
Be  0.0000  0.3520  0.3520
Be  0.0000  0.6480  0.6480
Be  0.3075  0.3075  0.6149
Be  0.3075  0.6925  0.0000
Be  0.3520  0.0000  0.3520
Be  0.6480  0.0000  0.6480
Be  0.6925  0.3075  0.0000
Be  0.6925  0.6925  0.3851

Formation energy (eV per atom): 0.12

=====

6.
Entry from the Alexandria database: Fe2RhW at its PBEsol-relaxed geometry (SCAN).

Cell lengths 3.6661, 3.6661, 7.4596 Å; angles 90.00, 90.00, 90.00 degrees
Fractional positions:
Fe  0.0000  0.0000  0.0000
Fe  0.0000  0.5000  0.2500
Fe  0.5000  0.0000  0.7500
Fe  0.5000  0.5000  0.5000
Rh  0.0000  0.0000  0.5000
Rh  0.5000  0.5000  0.0000
W  0.0000  0.5000  0.7500
W  0.5000  0.0000  0.2500

Energy relative to the lowest polymorph listed for this composition (meV/atom): 0
Formation energy (eV per atom): -0.01

=====

7.
Entry from the Alexandria database: Pd3WAu at its PBEsol-relaxed geometry (SCAN).

Cell lengths 4.7058, 4.7058, 4.7058 Å; angles 90.00, 90.00, 90.00 degrees
Fractional positions:
Pd  0.0000  0.0000  0.5000
Pd  0.0000  0.5000  0.0000
Pd  0.5000  0.0000  0.0000
W  0.0000  0.0000  0.0000
Au  0.5000  0.5000  0.5000

Formation energy (eV per atom): 1.28

=====

8.
Entry from the Alexandria database: Li2PPd2 at its PBEsol-relaxed geometry (SCAN).

Cell lengths 6.0341, 6.0341, 4.1904 Å; angles 90.00, 90.00, 90.00 degrees
Fractional positions:
Li  0.1617  0.3383  0.0000
Li  0.3383  0.8383  0.0000
Li  0.6617  0.1617  0.0000
Li  0.8383  0.6617  0.0000
P  0.0000  0.0000  0.5000
P  0.5000  0.5000  0.5000
Pd  0.1591  0.6591  0.5000
Pd  0.3409  0.1591  0.5000
Pd  0.6591  0.8409  0.5000
Pd  0.8409  0.3409  0.5000

Formation energy (eV per atom): -0.55

=====

| no. | energy (eV per cell) |
| --- | --- |
| 1 | -1184.435 |
| 2 | -161.365 |
| 3 | -519.597 |
| 4 | -253.358 |
| 5 | -64.415 |
| 6 | -279.538 |
| 7 | -230.745 |
| 8 | -166.928 |